An optimized crystal structure of Rb2ZnH12S2O14. Source: Alexandria, functional GGA-PBEsol.

Lattice parameters (Å, degrees): 6.2155 9.0488 12.2902 90.00 90.00 105.20
Fractional coordinates of all 62 atoms:
1 Rb 0.3448 0.1318 0.6516
2 Rb 0.6552 0.3682 0.1516
3 Rb 0.6552 0.8682 0.3484
4 Rb 0.3448 0.6318 0.8484
5 Zn 0.0000 0.5000 0.5000
6 Zn 0.0000 0.0000 0.0000
7 H 0.3219 0.5276 0.3558
8 H 0.6781 0.9724 0.8558
9 H 0.6781 0.4724 0.6442
10 H 0.3219 0.0276 0.1442
11 H 0.3374 0.3975 0.4405
12 H 0.6626 0.1025 0.9405
13 H 0.9201 0.2193 0.5978
14 H 0.0799 0.2807 0.0978
15 H 0.0799 0.7807 0.4022
16 H 0.9201 0.7193 0.9022
17 H 0.0875 0.7455 0.6292
18 H 0.9125 0.7545 0.1292
19 H 0.9125 0.2545 0.3708
20 H 0.0875 0.2455 0.8708
21 H 0.3238 0.7131 0.5944
22 H 0.6762 0.7869 0.0944
23 H 0.6762 0.2869 0.4056
24 H 0.3238 0.2131 0.9056
25 H 0.0114 0.1514 0.1897
26 H 0.9886 0.3486 0.6897
27 H 0.3374 0.8975 0.0595
28 H 0.6626 0.6025 0.5595
29 H 0.0114 0.6514 0.3103
30 H 0.9886 0.8486 0.8103
31 S 0.2706 0.5977 0.1388
32 S 0.7294 0.9023 0.6388
33 S 0.7294 0.4023 0.8612
34 S 0.2706 0.0977 0.3612
35 O 0.8338 0.3359 0.3832
36 O 0.8338 0.8359 0.1168
37 O 0.0219 0.8233 0.8867
38 O 0.9781 0.6767 0.3867
39 O 0.9781 0.1767 0.1133
40 O 0.0219 0.3233 0.6133
41 O 0.2981 0.9977 0.0656
42 O 0.1662 0.1641 0.8832
43 O 0.7019 0.0023 0.9344
44 O 0.2981 0.4977 0.4344
45 O 0.9448 0.8747 0.6757
46 O 0.0552 0.6253 0.1757
47 O 0.0552 0.1253 0.3243
48 O 0.9448 0.3747 0.8243
49 O 0.6041 0.7708 0.5707
50 O 0.3959 0.7292 0.0707
51 O 0.3959 0.2292 0.4293
52 O 0.6041 0.2708 0.9293
53 O 0.7706 0.0434 0.5723
54 O 0.2294 0.4566 0.0723
55 O 0.2294 0.9566 0.4277
56 O 0.7706 0.5434 0.9277
57 O 0.7019 0.5023 0.5656
58 O 0.4098 0.5857 0.2351
59 O 0.4098 0.0857 0.2649
60 O 0.5902 0.4143 0.7649
61 O 0.1662 0.6641 0.6168
62 O 0.5902 0.9143 0.7351

## Properties
final energy	-0.1984	hartree per atom

An optimized crystal structure of Rb3ScH6O6. Source: Alexandria, functional GGA-PBEsol.

Lattice parameters (Å, degrees): 7.5275 7.5275 7.5275 97.64 97.64 97.64
Fractional coordinates of all 32 atoms:
1 Rb 0.6311 0.2500 0.8689
2 Rb 0.2500 0.8689 0.6311
3 Rb 0.8689 0.6311 0.2500
4 Rb 0.3689 0.7500 0.1311
5 Rb 0.7500 0.1311 0.3689
6 Rb 0.1311 0.3689 0.7500
7 Sc 0.0000 0.0000 0.0000
8 Sc 0.5000 0.5000 0.5000
9 H 0.3699 0.1541 0.4166
10 H 0.1541 0.4166 0.3699
11 H 0.4166 0.3699 0.1541
12 H 0.0834 0.3459 0.1301
13 H 0.3459 0.1301 0.0834
14 H 0.1301 0.0834 0.3459
15 H 0.6301 0.8459 0.5834
16 H 0.8459 0.5834 0.6301
17 H 0.5834 0.6301 0.8459
18 H 0.9166 0.6541 0.8699
19 H 0.6541 0.8699 0.9166
20 H 0.8699 0.9166 0.6541
21 O 0.4012 0.2302 0.5353
22 O 0.2302 0.5353 0.4012
23 O 0.5353 0.4012 0.2302
24 O 0.9647 0.2698 0.0988
25 O 0.2698 0.0988 0.9647
26 O 0.0988 0.9647 0.2698
27 O 0.5988 0.7698 0.4647
28 O 0.7698 0.4647 0.5988
29 O 0.4647 0.5988 0.7698
30 O 0.0353 0.7302 0.9012
31 O 0.7302 0.9012 0.0353
32 O 0.9012 0.0353 0.7302

## Properties
final energy	-0.1988	hartree per atom

An optimized crystal structure of Rb2ZnH12Se2O14. Source: Alexandria, functional GGA-PBEsol.

Lattice parameters (Å, degrees): 6.3589 9.2267 12.4645 90.00 90.00 104.48
Fractional coordinates of all 62 atoms:
1 Rb 0.3386 0.1346 0.6570
2 Rb 0.6614 0.3654 0.1570
3 Rb 0.6614 0.8654 0.3430
4 Rb 0.3386 0.6346 0.8430
5 Zn 0.0000 0.0000 0.0000
6 Zn 0.0000 0.5000 0.5000
7 H 0.3244 0.5276 0.3603
8 H 0.6756 0.9724 0.8603
9 H 0.6756 0.4724 0.6397
10 H 0.3244 0.0276 0.1397
11 H 0.3349 0.3986 0.4441
12 H 0.6651 0.1014 0.9441
13 H 0.9210 0.2257 0.5945
14 H 0.0790 0.2743 0.0945
15 H 0.0790 0.7743 0.4055
16 H 0.9210 0.7257 0.9055
17 H 0.0924 0.7429 0.6277
18 H 0.9076 0.7571 0.1277
19 H 0.9076 0.2571 0.3723
20 H 0.0924 0.2429 0.8723
21 H 0.3183 0.7065 0.5897
22 H 0.6817 0.7935 0.0897
23 H 0.6817 0.2935 0.4103
24 H 0.3183 0.2065 0.9103
25 H 0.0063 0.1503 0.1866
26 H 0.9937 0.3497 0.6866
27 H 0.3349 0.8986 0.0559
28 H 0.6651 0.6014 0.5559
29 H 0.0063 0.6503 0.3134
30 H 0.9937 0.8497 0.8134
31 Se 0.7286 0.4039 0.8628
32 Se 0.2714 0.0961 0.3628
33 Se 0.7286 0.9039 0.6372
34 Se 0.2714 0.5961 0.1372
35 O 0.8339 0.3391 0.3857
36 O 0.8339 0.8391 0.1143
37 O 0.0234 0.8256 0.8894
38 O 0.9766 0.6744 0.3894
39 O 0.9766 0.1744 0.1106
40 O 0.0234 0.3256 0.6106
41 O 0.2918 0.9956 0.0632
42 O 0.1661 0.1609 0.8857
43 O 0.7082 0.0044 0.9368
44 O 0.2918 0.4956 0.4368
45 O 0.9641 0.8734 0.6794
46 O 0.0359 0.6266 0.1794
47 O 0.0359 0.1266 0.3206
48 O 0.9641 0.3734 0.8206
49 O 0.5927 0.7613 0.5615
50 O 0.4073 0.7387 0.0615
51 O 0.4073 0.2387 0.4385
52 O 0.5927 0.2613 0.9385
53 O 0.7701 0.0582 0.5634
54 O 0.2299 0.4418 0.0634
55 O 0.2299 0.9418 0.4366
56 O 0.7701 0.5582 0.9366
57 O 0.7082 0.5044 0.5632
58 O 0.4262 0.5832 0.2428
59 O 0.4262 0.0832 0.2572
60 O 0.5738 0.4168 0.7572
61 O 0.1661 0.6609 0.6143
62 O 0.5738 0.9168 0.7428

## Properties
final energy	-0.1891	hartree per atom

An optimized crystal structure of Rb2TeH12O10. Source: Alexandria, functional GGA-PBEsol.

Lattice parameters (Å, degrees): 6.9713 8.2272 9.2745 101.52 98.07 94.71
Fractional coordinates of all 50 atoms:
1 H 0.4817 0.9409 0.8198
2 H 0.5183 0.0591 0.1802
3 H 0.4026 0.0436 0.6336
4 H 0.5974 0.9564 0.3664
5 H 0.7182 0.8791 0.0337
6 H 0.2818 0.1209 0.9663
7 H 0.6002 0.8541 0.6947
8 H 0.3998 0.1459 0.3053
9 H 0.9174 0.3875 0.0675
10 H 0.0826 0.6125 0.9325
11 H 0.5754 0.3549 0.4963
12 H 0.4246 0.6451 0.5037
13 H 0.1880 0.8563 0.8183
14 H 0.8120 0.1437 0.1817
15 H 0.7863 0.7112 0.9412
16 H 0.2137 0.2888 0.0588
17 H 0.3242 0.1660 0.5244
18 H 0.6758 0.8340 0.4756
19 H 0.2844 0.8299 0.9761
20 H 0.7156 0.1701 0.0239
21 H 0.8304 0.4335 0.9133
22 H 0.1696 0.5665 0.0867
23 H 0.1464 0.7570 0.5871
24 H 0.8536 0.2430 0.4129
25 O 0.0961 0.4431 0.6018
26 O 0.9039 0.5569 0.3982
27 O 0.7138 0.3482 0.5478
28 O 0.2862 0.6518 0.4522
29 O 0.6437 0.6829 0.5823
30 O 0.3563 0.3171 0.4177
31 O 0.0481 0.7810 0.6561
32 O 0.9519 0.2190 0.3439
33 O 0.8759 0.5722 0.8141
34 O 0.1241 0.4278 0.1859
35 O 0.7981 0.3649 0.9873
36 O 0.2019 0.6351 0.0127
37 O 0.2878 0.9097 0.9085
38 O 0.7122 0.0903 0.0915
39 O 0.2846 0.0884 0.5875
40 O 0.7154 0.9116 0.4125
41 O 0.5676 0.9655 0.7468
42 O 0.4324 0.0345 0.2532
43 O 0.7252 0.7576 0.0296
44 O 0.2748 0.2424 0.9704
45 Rb 0.4391 0.4414 0.7980
46 Rb 0.5609 0.5586 0.2020
47 Rb 0.9357 0.1273 0.7078
48 Rb 0.0643 0.8727 0.2922
49 Te 0.8664 0.5713 0.6108
50 Te 0.1336 0.4287 0.3892

## Properties
final energy	-0.1871	hartree per atom

An optimized crystal structure of RbZr2HO. Source: Alexandria, functional GGA-PBEsol.

Lattice parameters (Å, degrees): 4.1820 4.1820 8.0219 90.00 90.00 90.00
Fractional coordinates of all 5 atoms:
1 O 0.0000 0.0000 0.0000
2 H 0.5000 0.5000 0.5000
3 Rb 0.0000 0.0000 0.5000
4 Zr 0.0000 0.5000 0.0000
5 Zr 0.5000 0.0000 0.0000

## Properties
final energy	-0.2132	hartree per atom

An optimized crystal structure of SbH3SO6. Source: Alexandria, functional GGA-PBEsol.

Lattice parameters (Å, degrees): 5.9398 6.5848 13.2581 90.00 90.00 115.17
Fractional coordinates of all 44 atoms:
1 Sb 0.6637 0.5948 0.3868
2 Sb 0.8363 0.9052 0.8868
3 Sb 0.3363 0.4052 0.6132
4 Sb 0.1637 0.0948 0.1132
5 H 0.8606 0.6329 0.5759
6 H 0.6394 0.8671 0.0759
7 H 0.1394 0.3671 0.4241
8 H 0.3606 0.1329 0.9241
9 H 0.1387 0.8149 0.4781
10 H 0.3613 0.6851 0.9781
11 H 0.8613 0.1851 0.5219
12 H 0.6387 0.3149 0.0219
13 H 0.1958 0.9266 0.3660
14 H 0.3042 0.5734 0.8660
15 H 0.8042 0.0734 0.6340
16 H 0.6958 0.4266 0.1340
17 S 0.8263 0.4283 0.8406
18 S 0.6737 0.0717 0.3406
19 S 0.1737 0.5717 0.1594
20 S 0.3263 0.9283 0.6594
21 O 0.9126 0.6251 0.9152
22 O 0.5874 0.8749 0.4152
23 O 0.0874 0.3749 0.0848
24 O 0.4126 0.1251 0.5848
25 O 0.6890 0.4731 0.7591
26 O 0.8110 0.0269 0.2591
27 O 0.3110 0.5269 0.2409
28 O 0.1890 0.9731 0.7409
29 O 0.6655 0.2253 0.9014
30 O 0.8345 0.2747 0.4014
31 O 0.3345 0.7747 0.0986
32 O 0.1655 0.7253 0.5986
33 O 0.0489 0.4019 0.8073
34 O 0.4511 0.0981 0.3073
35 O 0.9511 0.5981 0.1927
36 O 0.5489 0.9019 0.6927
37 O 0.6959 0.5778 0.5403
38 O 0.8041 0.9222 0.0403
39 O 0.3041 0.4222 0.4597
40 O 0.1959 0.0778 0.9597
41 O 0.0601 0.8367 0.4150
42 O 0.4399 0.6633 0.9150
43 O 0.9399 0.1633 0.5850
44 O 0.5601 0.3367 0.0850

## Properties
final energy	-0.2142	hartree per atom